4
Lattice="-2.455 1.797 0.409 -1.576 -1.192 -4.222 -2.219 -3.443 1.801" Properties=species:S:1:pos:R:3 comment="TaCr2Br, optimized geometry, DFT PBE" formation_energy_uncorrected_ev_per_fu=3.1 de_polymorph_mev_per_atom=471 pbc="T T T"
Br -1.898 -2.318 -1.210
Cr 0.000 0.000 0.000
Cr -2.016 0.302 -1.906
Ta -2.337 -0.823 1.105

3
Lattice="-3.201 -0.079 2.648 0.019 -2.646 3.203 0.472 1.429 3.872" Properties=species:S:1:pos:R:3 comment="ZnTcOs, optimized geometry, DFT PBE" de_polymorph_mev_per_atom=409 formation_energy_ev_per_atom=0.44 pbc="T T T"
Os -2.033 -0.972 7.293
Tc 0.000 0.000 0.000
Zn -1.355 -0.648 4.862

8
Lattice="-3.072 0.559 2.066 -2.643 -0.343 -3.837 -0.886 -10.658 1.563" Properties=species:S:1:pos:R:3 comment="Dy4PdAu3, optimized geometry, DFT PBE" formation_energy_ev_per_atom=-0.90 pbc="T T T"
Dy -3.172 -3.678 -0.330
Dy -2.089 -9.408 -0.564
Dy -0.121 -1.457 0.214
Dy -2.103 -6.537 2.033
Pd -2.934 -0.819 -0.750
Au -1.843 -6.450 -0.998
Au -0.364 -4.381 0.643
Au -2.347 -9.470 2.463

4
Lattice="4.577 0.002 -0.004 -1.022 4.461 -0.004 0.003 0.003 2.896" Properties=species:S:1:pos:R:3 comment="MnAlPt2, optimized geometry, DFT PBE" formation_energy_ev_per_atom=-0.69 pbc="T T T"
Mn -0.510 2.232 1.446
Al 2.290 0.003 1.446
Pt 0.000 0.000 0.000
Pt 1.777 2.231 -0.004

7
Lattice="-0.103 2.502 -3.774 -2.545 -3.154 -2.021 -7.795 4.317 3.075" Properties=species:S:1:pos:R:3 comment="Ce2GeSb4, optimized geometry, DFT PBE" formation_energy_uncorrected_ev_per_fu=-4.0 pbc="T T T"
Ce -5.982 4.535 0.453
Ce -3.137 -0.544 -0.275
Ge -1.324 -0.326 -2.898
Sb -1.422 2.010 -1.346
Sb -7.696 1.981 1.524
Sb -5.221 1.832 -1.360
Sb -3.897 2.159 1.538

9
Lattice="4.580 0.000 0.000 0.000 5.932 0.000 0.000 -2.966 5.137" Properties=species:S:1:pos:R:3 comment="PmUCdO6, optimized geometry, DFT PBE" formation_energy_uncorrected_ev_per_fu=-21.5 pbc="T T T"
Pm 2.290 2.966 1.712
U 2.290 0.000 0.000
Cd 0.000 0.000 3.425
O 3.354 2.068 3.596
O 3.354 -1.182 5.130
O 3.354 -0.885 1.549
O 1.225 0.885 1.549
O 1.225 1.182 5.130
O 1.225 -2.068 3.596

4
Lattice="6.991 0.005 -0.004 5.771 3.946 -0.004 0.004 0.001 4.336" Properties=species:S:1:pos:R:3 comment="KHgCl2, optimized geometry, DFT PBE" formation_energy_uncorrected_ev_per_fu=-4.2 de_polymorph_mev_per_atom=26 pbc="T T T"
K 3.536 1.095 0.540
Hg 6.549 2.028 2.707
Cl 12.603 3.902 0.534
Cl 9.222 2.855 2.706

4
Lattice="-2.269 -1.013 1.858 0.328 -2.860 -1.158 4.185 -1.303 4.401" Properties=species:S:1:pos:R:3 comment="PmBe2Os, optimized geometry, DFT PBE" de_polymorph_mev_per_atom=96 formation_energy_ev_per_atom=-0.04 pbc="T T T"
Be 3.498 -1.089 3.679
Be 0.687 -0.214 0.722
Os -0.971 -1.936 0.350
Pm 1.122 -2.588 2.551

4
Lattice="-4.203 7.204 3.953 -6.058 6.891 1.002 -6.841 4.910 3.779" Properties=species:S:1:pos:R:3 comment="Ca2WSe, optimized geometry, DFT PBE" formation_energy_uncorrected_ev_per_fu=0.5 pbc="T T T"
Ca -16.926 18.810 8.645
Ca -8.727 9.698 4.457
Se -4.276 4.751 2.184
W -12.827 14.254 6.551

3
Lattice="-2.658 -1.609 -0.409 2.215 -0.043 -2.217 2.649 -5.075 2.743" Properties=species:S:1:pos:R:3 comment="CoAgCl, optimized geometry, DFT PBE" formation_energy_uncorrected_ev_per_fu=0.3 de_polymorph_mev_per_atom=17 pbc="T T T"
Co 0.649 -4.312 0.731
Ag 2.526 -4.841 2.617
Cl 1.678 -2.649 -0.488

4
Lattice="0.000 2.743 2.743 2.743 0.000 2.743 2.743 2.743 0.000" Properties=species:S:1:pos:R:3 comment="BeCuF2, optimized geometry, DFT PBE" formation_energy_uncorrected_ev_per_fu=-2.6 de_polymorph_mev_per_atom=1352 pbc="T T T"
Be 0.000 0.000 0.000
Cu 2.743 2.743 2.743
F 1.372 1.372 1.372
F 4.115 4.115 4.115

4
Lattice="4.781 0.000 0.000 2.391 4.141 0.000 2.391 1.380 4.762" Properties=species:S:1:pos:R:3 comment="ThScAu2, optimized geometry, DFT PBE" de_polymorph_mev_per_atom=35 formation_energy_ev_per_atom=-0.66 pbc="T T T"
Sc 0.000 0.000 0.000
Au 2.391 1.380 0.794
Au 7.172 4.141 3.967
Th 4.781 2.761 2.381

10
Lattice="-0.298 3.555 4.842 -3.678 -3.941 2.667 3.099 -1.845 1.546" Properties=species:S:1:pos:R:3 comment="Cu2PPt2, optimized geometry, DFT PBE" formation_energy_ev_per_atom=0.10 pbc="T T T"
P 0.000 0.000 0.000
P -1.988 -0.193 3.755
Cu -3.260 -2.109 4.019
Cu -2.618 0.517 5.866
Cu -0.715 1.723 3.491
Cu -1.357 -0.903 1.643
Pt -0.934 -2.956 3.325
Pt -1.729 -1.871 6.214
Pt 0.058 0.724 5.731
Pt 0.852 -0.361 2.841

5
Lattice="-0.812 -2.833 4.165 -3.455 -2.756 -2.548 3.775 -3.322 -1.524" Properties=species:S:1:pos:R:3 comment="NaGeAs2Br, optimized geometry, DFT PBE" formation_energy_uncorrected_ev_per_fu=4.2 de_polymorph_mev_per_atom=710 pbc="T T T"
Na 0.000 0.000 0.000
As -1.727 -1.378 -1.274
As -0.406 -1.416 2.082
Ge -0.246 -4.456 0.046
Br 1.887 -1.661 -0.762

4
Lattice="5.060 0.023 0.011 2.230 4.542 -0.011 -3.060 -3.218 2.427" Properties=species:S:1:pos:R:3 comment="LiRe2Ir, optimized geometry, DFT PBE" formation_energy_ev_per_atom=0.20 pbc="T T T"
Ir 3.581 2.242 0.000
Li 1.429 1.817 1.208
Re 0.024 0.015 0.000
Re 2.843 -0.444 1.219

8
Lattice="6.721 -0.062 -0.095 -2.920 6.054 0.095 -2.920 -2.349 5.581" Properties=species:S:1:pos:R:3 comment="Rb2VZnS4, optimized geometry, DFT PBE" formation_energy_uncorrected_ev_per_fu=-7.8 pbc="T T T"
Rb 0.440 3.922 1.419
Rb 0.000 0.000 0.000
V -2.920 1.853 2.838
Zn 0.440 -0.279 4.162
S 1.660 1.194 2.767
S -1.771 0.027 3.374
S 4.174 2.650 0.727
S -2.302 3.414 4.294

11
Lattice="-2.416 2.980 -2.949 -5.925 -2.117 2.716 3.866 5.281 6.141" Properties=species:S:1:pos:R:3 comment="Er8Ir2Pd, optimized geometry, DFT PBE" de_polymorph_mev_per_atom=0 formation_energy_ev_per_atom=-0.56 pbc="T T T"
Er -1.028 4.328 5.217
Er -6.024 1.744 2.730
Er -3.697 4.048 3.151
Er -0.011 7.364 3.482
Er -0.778 2.096 2.756
Er 1.548 4.400 3.178
Er -3.448 1.816 0.691
Er -4.465 -1.220 2.425
Ir -1.281 5.108 2.242
Ir -3.195 1.036 3.665
Pd -1.208 1.490 -1.474

8
Lattice="-4.295 0.545 -3.686 -3.694 -1.360 4.104 -0.488 5.494 1.381" Properties=species:S:1:pos:R:3 comment="LaRe, optimized geometry, DFT PBE" de_polymorph_mev_per_atom=823 formation_energy_ev_per_atom=0.97 pbc="T T T"
La -3.497 1.930 0.742
La -2.991 4.263 3.349
La -5.937 -0.440 1.700
La -4.530 3.606 -2.193
Re -0.792 0.437 0.168
Re -5.385 2.249 3.041
Re -6.285 1.921 -0.345
Re -4.493 4.752 0.734

6
Lattice="-5.315 0.632 -1.740 -2.793 -4.382 -2.163 -4.209 -2.362 2.896" Properties=species:S:1:pos:R:3 comment="CsNaPd4, optimized geometry, DFT PBE" formation_energy_ev_per_atom=0.07 pbc="T T T"
Cs -3.079 -1.528 -0.252
Na 0.000 0.000 0.000
Pd -5.590 -2.636 -2.087
Pd -6.302 -1.620 0.458
Pd -7.707 -3.825 -0.630
Pd -5.033 -4.142 0.245

2
Lattice="4.482 0.000 0.000 2.241 3.882 0.000 2.241 1.294 3.660" Properties=species:S:1:pos:R:3 comment="YBi, optimized geometry, DFT PBE" formation_energy_ev_per_atom=-0.90 pbc="T T T"
Y 4.482 2.588 1.830
Bi 0.000 0.000 0.000

Computed volume, in the same sequence as the records: 64; 51; 189; 59; 193; 140; 120; 60; 96; 54; 41; 94; 71; 137; 56; 225; 274; 46; 126; 64 Å³/f.u..
Computed uncorrected energy, in the same sequence as the records: -29.7; -21.6; -40.6; -27.8; -36.9; -68.2; -9.3; -23.6; -19.9; -11.5; -14.2; -23.0; -50.4; -12.7; -34.9; -36.6; -65.5; -61.7; -22.5; -12.1 eV per cell.